(1)
# Sm7Dy2Y2 | the Alexandria database | PBE | optimized geometry
data_Sm7Dy2Y2
_cell_length_a 8.166
_cell_length_b 6.968
_cell_length_c 6.968
_cell_angle_alpha 77.88
_cell_angle_beta 78.49
_cell_angle_gamma 78.49
_space_group_name_H-M_alt 'P 1'
_space_group_IT_number 1
_space_group_name_Hall 'P 1'
loop_
_atom_site_label
_atom_site_fract_x
_atom_site_fract_y
_atom_site_fract_z
Sm1 0.448 0.735 0.735
Sm2 0.820 0.523 0.918
Sm3 0.552 0.265 0.265
Sm4 0.820 0.918 0.523
Y1 0.500 0.792 0.208
Y2 0.500 0.208 0.792
Dy1 0.188 0.550 0.550
Sm5 0.180 0.082 0.477
Sm6 0.180 0.477 0.082
Sm7 0.000 0.000 0.000
Dy2 0.812 0.450 0.450
# DOS(E_F) = 13.49 states/eV/cell
# Total moment = 0.00 μB/cell
# DFT formation energy = 157 meV/atom
# E_tot = -53.4 eV per formula unit
# Distance to the lowest polymorph of the same formula = 0.014 eV/atom
# Space group = C2/m



(2)
# BaCd2W | the Alexandria database | PBE | optimized geometry
data_BaCd2W
_cell_length_a 4.690
_cell_length_b 4.757
_cell_length_c 4.757
_cell_angle_alpha 90.00
_cell_angle_beta 90.00
_cell_angle_gamma 90.00
_space_group_name_H-M_alt 'P 1'
_space_group_IT_number 1
_space_group_name_Hall 'P 1'
loop_
_atom_site_label
_atom_site_fract_x
_atom_site_fract_y
_atom_site_fract_z
W1 0.500 0.500 0.000
Cd1 0.000 0.000 0.000
Ba1 0.500 0.000 0.500
Cd2 0.000 0.500 0.500
# DOS(E_F) = 2.87 states/eV/cell
# Total moment = 2.40 μB/cell
# DFT formation energy = 983 meV/atom
# E_tot = -12.8 eV per formula unit
# Distance to the lowest polymorph of the same formula = 0.364 eV/atom
# Space group = P4/mmm



(3)
# DyEr6In6 | the Alexandria database | PBE | optimized geometry
data_DyEr6In6
_cell_length_a 6.220
_cell_length_b 6.220
_cell_length_c 10.660
_cell_angle_alpha 90.00
_cell_angle_beta 90.00
_cell_angle_gamma 120.00
_space_group_name_H-M_alt 'P 1'
_space_group_IT_number 1
_space_group_name_Hall 'P 1'
loop_
_atom_site_label
_atom_site_fract_x
_atom_site_fract_y
_atom_site_fract_z
In1 0.500 0.000 0.246
In2 0.500 0.500 0.754
In3 0.500 0.500 0.246
Er1 0.333 0.667 0.000
Er2 0.000 0.000 0.660
In4 0.000 0.500 0.246
In5 0.000 0.500 0.754
Er3 0.333 0.667 0.500
Er4 0.667 0.333 0.000
In6 0.500 0.000 0.754
Er5 0.667 0.333 0.500
Dy1 0.000 0.000 0.000
Er6 0.000 0.000 0.340
# DOS(E_F) = 13.96 states/eV/cell
# Total moment = 0.00 μB/cell
# DFT formation energy = -301 meV/atom
# E_tot = -52.3 eV per formula unit
# Space group = P6/mmm